Density functional theory data (GGA+U) for an optimized crystal structure of CoTePdO.

Values from the calculation:
Its energy above the lowest structure with this stoichiometry is 0.6397 eV/atom.

CIF file:
```
data_CoTePdO
_chemical_formula_sum 'Co2 Te2 Pd2 O2'
_space_group_name_H-M_alt 'P 4/n m m'
_space_group_IT_number 129
_cell_length_a 3.954
_cell_length_b 3.954
_cell_length_c 9.431
_cell_angle_alpha 90.00
_cell_angle_beta 90.00
_cell_angle_gamma 90.00
loop_
_space_group_symop_operation_xyz
'x,y,z'
'-x,-y,-z'
'-y+1/2,x,z'
'y+1/2,-x,-z'
'-x+1/2,-y+1/2,z'
'x+1/2,y+1/2,-z'
'y,-x+1/2,z'
'-y,x+1/2,-z'
'x+1/2,-y,-z'
'-x+1/2,y,z'
'-y,-x,-z'
'y,x,z'
'-x,y+1/2,-z'
'x,-y+1/2,z'
'y+1/2,x+1/2,-z'
'-y+1/2,-x+1/2,z'
loop_
_atom_site_label
_atom_site_type_symbol
_atom_site_fract_x
_atom_site_fract_y
_atom_site_fract_z
Co1 Co 0.250 0.250 0.139
Te1 Te 0.250 0.250 0.853
Pd1 Pd 0.250 0.250 0.567
O1 O 0.250 0.750 0.500
```